(1)
GaTeF PBE relaxed; Fermi-level density of states = 0.00 states/eV/atom; total DFT energy (no corrections) = -3.956 eV per atom; distance to the lowest polymorph of the same formula = 0.0193 eV per atom; symmetry = R3m, No. 160; formation energy from raw total energies = -1.276 eV per atom
1.0
2.0893 1.2062 5.3808
-2.0893 1.2062 5.3808
0.0000 -2.4125 5.3808
Ga Te F
1 1 1
Direct
0.0000 0.0000 0.0000
0.4045 0.4045 0.4045
0.8884 0.8884 0.8884

(2)
TlZnCu2 PBE relaxed; Fermi-level density of states = 0.25 states/eV/atom; total DFT energy (no corrections) = -2.725 eV per atom; distance to the lowest polymorph of the same formula = 0.0732 eV per atom; symmetry = Fm-3m, No. 225; ΔE_f = 0.2333 eV per atom
1.0
0.0000 3.1758 3.1758
3.1758 0.0000 3.1758
3.1758 3.1758 0.0000
Tl Zn Cu
1 1 2
Direct
0.0000 0.0000 0.0000
0.5000 0.5000 0.5000
0.2500 0.2500 0.2500
0.7500 0.7500 0.7500